No. 1
Material: ZrGaCoPt
Method: DFT, GGA-PBE
State: optimized geometry

```
ZrGaCoPt
1.0
-3.580 -0.204 -2.680
0.536 -0.493 -4.417
-1.104 -3.865 -1.971
Ga Co Zr Pt
1 1 1 1
Direct
0.500 0.500 0.500 Ga
0.250 0.250 0.250 Co
0.000 0.000 0.000 Zr
0.750 0.750 0.750 Pt
```

Results
For the calculated formation energy, the calculation gives -0.604 eV per atom. The calculation puts the total magnetization at 1.7 μB per cell. The density of states at the Fermi level comes out at 2.1 states/eV/f.u. The calculation puts the total energy at -6.785 eV/atom.

=====

No. 2
Material: Rb2Cd3HgSb4
Method: DFT, GGA-PBE
State: optimized geometry

```
Rb2Cd3HgSb4
1.0
5.198 0.000 0.000
0.000 5.198 0.000
0.000 0.000 11.824
Rb Cd Hg Sb
2 3 1 4
Direct
0.500 0.000 0.252 Rb
0.000 0.500 0.748 Rb
0.000 0.000 0.500 Cd
0.500 0.000 0.871 Cd
0.000 0.500 0.129 Cd
0.500 0.500 0.500 Hg
0.500 0.500 0.000 Sb
0.000 0.000 0.000 Sb
0.500 0.000 0.628 Sb
0.000 0.500 0.372 Sb
```

Results
The calculation puts the total magnetization at 0.0 μB per cell. The density of states at the Fermi level comes out at 2.5 states/eV/f.u. The calculation puts the formation energy (no corrections) at -243 meV/atom. The calculation puts the total energy at -2.390 eV/atom.

=====

No. 3
Material: CaLa5PmNd2
Method: DFT, GGA-PBE
State: optimized geometry

```
CaLa5PmNd2
1.0
-1.734 -2.946 4.856
4.211 -5.953 -5.739
11.110 2.546 5.510
Ca La Pm Nd
2 10 2 4
Direct
0.621 0.243 0.922 Ca
0.379 0.757 0.422 Ca
0.424 0.847 0.080 La
0.771 0.541 0.716 La
0.425 0.850 0.774 La
0.231 0.461 0.632 La
0.936 0.873 0.574 La
0.576 0.153 0.580 La
0.229 0.459 0.216 La
0.575 0.150 0.274 La
0.769 0.539 0.132 La
0.064 0.127 0.074 La
0.744 0.489 0.424 Pm
0.256 0.511 0.924 Pm
0.882 0.765 0.925 Nd
0.063 0.127 0.777 Nd
0.118 0.235 0.425 Nd
0.937 0.873 0.277 Nd
```

Results
For the calculated formation energy, the calculation gives 0.064 eV per atom. The calculation puts the total magnetization at 0.0 μB per cell. The density of states at the Fermi level comes out at 12.1 states/eV/f.u. The calculation puts the total energy at -4.484 eV/atom.